# 1
TaHg3O at its PBEsol-relaxed geometry, computed with SCAN.

a b c (Å): 4.5475 4.5475 4.5475
angles (deg): 90.00 90.00 90.00
Fractional positions:
1 Ta 0.0000 0.0000 0.0000
2 Hg 0.0000 0.5000 0.5000
3 Hg 0.5000 0.0000 0.5000
4 Hg 0.5000 0.5000 0.0000
5 O 0.5000 0.5000 0.5000

Values from the calculation:
**Crystal system**: cubic
**Total magnetic moment**: 0.00 Bohr magnetons per cell
**SG**: Pm-3m (221)
**Formation energy from raw total energies**: 5.18 eV/f.u.

=====

# 2
Tc3HgO at its PBEsol-relaxed geometry, computed with SCAN.

a b c (Å): 5.0771 5.0771 5.0771
angles (deg): 90.00 90.00 90.00
Fractional positions:
1 Tc 0.0000 0.0000 0.5000
2 Tc 0.0000 0.5000 0.0000
3 Tc 0.5000 0.0000 0.0000
4 Hg 0.0000 0.0000 0.0000
5 O 0.5000 0.5000 0.5000

Values from the calculation:
**Crystal system**: cubic
**Total magnetic moment**: 12.84 Bohr magnetons per cell
**SG**: Pm-3m (221)
**Formation energy from raw total energies**: 13.61 eV/f.u.

=====

# 3
TcHg3O at its PBEsol-relaxed geometry, computed with SCAN.

a b c (Å): 5.2305 5.2305 5.2305
angles (deg): 90.00 90.00 90.00
Fractional positions:
1 Tc 0.0000 0.0000 0.0000
2 Hg 0.0000 0.0000 0.5000
3 Hg 0.0000 0.5000 0.0000
4 Hg 0.5000 0.0000 0.0000
5 O 0.5000 0.5000 0.5000

Values from the calculation:
**Crystal system**: cubic
**Total magnetic moment**: 4.26 Bohr magnetons per cell
**SG**: Pm-3m (221)
**Formation energy from raw total energies**: 5.24 eV/f.u.

=====

# 4
Hg3TeO6 at its PBEsol-relaxed geometry, computed with SCAN.

a b c (Å): 11.7067 11.7067 11.7067
angles (deg): 109.47 109.47 109.47
Fractional positions:
1 Hg 0.0808 0.6640 0.3328
2 Hg 0.0832 0.3312 0.1640
3 Hg 0.1640 0.0832 0.3312
4 Hg 0.1672 0.8312 0.7481
5 Hg 0.1688 0.2519 0.8328
6 Hg 0.2481 0.4168 0.5808
7 Hg 0.2519 0.8328 0.1688
8 Hg 0.3312 0.1640 0.0832
9 Hg 0.3328 0.0808 0.6640
10 Hg 0.3360 0.6672 0.9192
11 Hg 0.4168 0.5808 0.2481
12 Hg 0.4192 0.7519 0.5832
13 Hg 0.5808 0.2481 0.4168
14 Hg 0.5832 0.4192 0.7519
15 Hg 0.6640 0.3328 0.0808
16 Hg 0.6672 0.9192 0.3360
17 Hg 0.6688 0.8360 0.9168
18 Hg 0.7481 0.1672 0.8312
19 Hg 0.7519 0.5832 0.4192
20 Hg 0.8312 0.7481 0.1672
21 Hg 0.8328 0.1688 0.2519
22 Hg 0.8360 0.9168 0.6688
23 Hg 0.9168 0.6688 0.8360
24 Hg 0.9192 0.3360 0.6672
25 Te 0.0000 0.0000 0.0000
26 Te 0.0000 0.0000 0.5000
27 Te 0.0000 0.5000 0.0000
28 Te 0.0000 0.5000 0.5000
29 Te 0.5000 0.0000 0.0000
30 Te 0.5000 0.0000 0.5000
31 Te 0.5000 0.5000 0.0000
32 Te 0.5000 0.5000 0.5000
33 O 0.0008 0.6508 0.1398
34 O 0.0010 0.8618 0.8499
35 O 0.0111 0.8611 0.3602
36 O 0.0120 0.3618 0.3608
37 O 0.1382 0.1501 0.9990
38 O 0.1392 0.5010 0.6511
39 O 0.1389 0.6398 0.9889
40 O 0.1398 0.0008 0.6508
41 O 0.1500 0.5111 0.1508
42 O 0.1501 0.9990 0.1382
43 O 0.1508 0.1500 0.5111
44 O 0.1511 0.6501 0.5120
45 O 0.3492 0.8602 0.9992
46 O 0.3489 0.8608 0.4990
47 O 0.3499 0.4880 0.8489
48 O 0.3500 0.5008 0.3611
49 O 0.3602 0.0111 0.8611
50 O 0.3608 0.0120 0.3618
51 O 0.3611 0.3500 0.5008
52 O 0.3618 0.3608 0.0120
53 O 0.4880 0.8489 0.3499
54 O 0.4889 0.8492 0.8500
55 O 0.4990 0.3489 0.8608
56 O 0.4992 0.6389 0.6500
57 O 0.5008 0.3611 0.3500
58 O 0.5010 0.6511 0.1392
59 O 0.5111 0.1508 0.1500
60 O 0.5120 0.1511 0.6501
61 O 0.6382 0.6392 0.9880
62 O 0.6389 0.6500 0.4992
63 O 0.6392 0.9880 0.6382
64 O 0.6398 0.9889 0.1389
65 O 0.6500 0.4992 0.6389
66 O 0.6501 0.5120 0.1511
67 O 0.6511 0.1392 0.5010
68 O 0.6508 0.1398 0.0008
69 O 0.8489 0.3499 0.4880
70 O 0.8492 0.8500 0.4889
71 O 0.8499 0.0010 0.8618
72 O 0.8500 0.4889 0.8492
73 O 0.8602 0.9992 0.3492
74 O 0.8611 0.3602 0.0111
75 O 0.8608 0.4990 0.3489
76 O 0.8618 0.8499 0.0010
77 O 0.9880 0.6382 0.6392
78 O 0.9889 0.1389 0.6398
79 O 0.9990 0.1382 0.1501
80 O 0.9992 0.3492 0.8602

Values from the calculation:
**Crystal system**: cubic
**Total magnetic moment**: 0.00 Bohr magnetons per cell
**SG**: Ia-3 (206)
**Formation energy from raw total energies**: -6.59 eV/f.u.
**Distance to the lowest polymorph of the same formula**: 0.000 eV/atom